Density functional theory data (PBE+U) for crystalline MgCrPbF6 at its relaxed geometry.

Values from the calculation:
Density of states at the Fermi level in states/eV per cell: 12.191
Total energy in eV per atom: -5.4150
Space-group type: P-31c, No. 163

Lattice parameters (Å, degrees): 5.4930 5.4930 10.5045 90.00 90.00 120.00
Closest atoms and distances in Å follow each position.
Element x y z (fractional)
F (0.6293, 0.9859, 0.8554)  1 Mg 2.02, 1 Cr 2.13
F (0.3707, 0.0141, 0.1446)  1 Mg 2.02, 1 Cr 2.13
F (0.3566, 0.3707, 0.8554)  1 Mg 2.02, 1 Cr 2.13
F (0.0141, 0.3707, 0.6446)  1 Mg 2.02, 1 Cr 2.13
F (0.9859, 0.6293, 0.3554)  1 Mg 2.02, 1 Cr 2.13
F (0.9859, 0.3566, 0.1446)  1 Mg 2.02, 1 Cr 2.13
F (0.6293, 0.6434, 0.6446)  1 Mg 2.02, 1 Cr 2.13
F (0.6434, 0.6293, 0.1446)  1 Mg 2.02, 1 Cr 2.13
F (0.3707, 0.3566, 0.3554)  1 Mg 2.02, 1 Cr 2.13
F (0.3566, 0.9859, 0.6446)  1 Mg 2.02, 1 Cr 2.13
F (0.0141, 0.6434, 0.8554)  1 Mg 2.02, 1 Cr 2.13
F (0.6434, 0.0141, 0.3554)  1 Mg 2.02, 1 Cr 2.13
Cr (0.3333, 0.6667, 0.2500)  6 F 2.13
Cr (0.6667, 0.3333, 0.7500)  6 F 2.13
Pb (0.0000, 0.0000, 0.0000)  6 F 2.51
Pb (0.0000, 0.0000, 0.5000)  6 F 2.51
Mg (0.3333, 0.6667, 0.7500)  6 F 2.02
Mg (0.6667, 0.3333, 0.2500)  6 F 2.02